This record from the Alexandria database describes a relaxed structure of Mg2Zr2Hg. The functional is PBE-GGA.

Properties
crystal system	tetragonal
ΔH_f (0 K)	0.078	eV per atom
ΔE to the lowest computed polymorph	9.68	kJ/mol of atoms
uncorrected energy	-4.04	eV/atom

Lattice parameters (Å, degrees): 6.9346 6.9346 4.5536 90.00 90.00 90.00
With the nearest neighbours (Å) after each atom.
Space group P4/mbm (No. 127)
Unique sites:
Mg1 0.1384 0.3616 0.0000 [4 per cell]  2 Hg 2.68, 1 Mg 2.72, 2 Zr 3.00
Zr1 0.1630 0.6630 0.5000 [4 per cell]  6 Mg 3.00-3.10, 1 Zr 3.20
Hg1 0.0000 0.0000 0.0000 [2 per cell]  4 Mg 2.68

---

This record from the Alexandria database describes a relaxed structure of CaHoIn. The functional is PBE-GGA.

Properties
crystal system	trigonal
ΔH_f (0 K)	-0.195	eV per atom
ΔE to the lowest computed polymorph	16.69	kJ/mol of atoms
uncorrected energy	-3.30	eV/atom

Lattice parameters (Å, degrees): 5.3343 5.3343 3.6306 90.00 90.00 120.00
With the nearest neighbours (Å) after each atom.
Space group P3m1 (No. 156)
Unique sites:
Ca1 0.0000 0.0000 0.0000 [1 per cell]  3 In 3.28, 3 Ho 3.46, 2 Ca 3.63
Ho1 0.6667 0.3333 0.4373 [1 per cell]  3 In 3.21, 3 Ca 3.46
In1 0.3333 0.6667 0.6883 [1 per cell]  3 Ho 3.21, 3 Ca 3.28

---

This record from the Alexandria database describes a relaxed structure of AcMgHgIr. The functional is PBE-GGA.

Properties
crystal system	cubic
ΔH_f (0 K)	-0.221	eV per atom
uncorrected energy	-3.94	eV/atom

Lattice parameters (Å, degrees): 7.2938 7.2938 7.2938 90.00 90.00 90.00
With the nearest neighbours (Å) after each atom.
Space group F-43m (No. 216)
Unique sites:
Ac1 0.0000 0.0000 0.0000 [4 per cell]  4 Ir 3.16, 4 Hg 3.16
Mg1 0.0000 0.0000 0.5000 [4 per cell]  4 Hg 3.16, 4 Ir 3.16
Hg1 0.2500 0.2500 0.2500 [4 per cell]  4 Ac 3.16, 4 Mg 3.16
Ir1 0.2500 0.2500 0.7500 [4 per cell]  4 Ac 3.16, 4 Mg 3.16

---

This record from the Alexandria database describes a relaxed structure of TbHo5Cd4. The functional is PBE-GGA.

Properties
crystal system	tetragonal
ΔH_f (0 K)	-0.238	eV per atom
uncorrected energy	-3.36	eV/atom

Lattice parameters (Å, degrees): 3.6721 3.6721 20.2017 90.00 90.00 90.00
With the nearest neighbours (Å) after each atom.
Space group P4/mmm (No. 123)
Unique sites:
Tb1 0.0000 0.0000 0.0000 [1 per cell]  8 Ho 3.56, 4 Tb 3.67
Ho1 0.5000 0.5000 0.1209 [2 per cell]  4 Cd 3.23, 4 Tb 3.56
Ho2 0.5000 0.5000 0.3119 [2 per cell]  8 Cd 3.21-3.24
Ho3 0.5000 0.5000 0.5000 [1 per cell]  8 Cd 3.23
Cd1 0.0000 0.0000 0.2162 [2 per cell]  8 Ho 3.23-3.24
Cd2 0.0000 0.0000 0.4053 [2 per cell]  8 Ho 3.21-3.23